# 1
VASP calculation (PBE) on an optimized crystal structure of SrCa2As.

Results
* size of the total moment: 0.70 μB/f.u.
* SG: R3m, No. 160
* E_form: -2.53 eV/f.u.
* D(E_F): 2.49 states/eV per cell

Cell: 4.347 4.347 10.383 Å, 77.92 77.92 60.00°
Atoms (fractional coordinates):
Sr (0.503, 0.503, 0.492)
Ca (0.048, 0.048, 0.856)
Ca (0.284, 0.284, 0.149)
As (0.666, 0.666, 0.003)

---

# 2
VASP calculation (PBE) on an optimized crystal structure of SrCa2As.

Results
* size of the total moment: 0.00 μB/f.u.
* SG: P2/m, No. 10
* E_form: -2.38 eV/f.u.
* D(E_F): 2.69 states/eV per cell

Cell: 4.281 6.952 6.267 Å, 63.28 90.00 90.00°
Atoms (fractional coordinates):
Sr (0.500, 0.500, 0.250)
As (0.500, 0.500, 0.750)
Ca (0.000, 0.187, 0.907)
Ca (0.000, 0.813, 0.593)